Crystalline CoPRu2 at its relaxed geometry, computed with PBE.

Summary:
- Energy relative to the elements: 0.53 eV per atom
- Space group: I-42d, No. 122
- Crystal system: tetragonal

Unit cell a=6.339 b=6.339 c=6.339 alpha=131.46 beta=131.46 gamma=71.08
Fractional positions:
Co  0.000  0.000  0.000
Co  0.750  0.250  0.500
P  0.250  0.750  0.500
P  0.500  0.500  0.000
Ru  0.128  0.625  0.003
Ru  0.375  0.378  0.503
Ru  0.622  0.125  0.997
Ru  0.875  0.872  0.497



Crystalline Li2CoPdC at its relaxed geometry, computed with PBE.

Summary:
- Energy relative to the elements: 1.00 eV per atom
- Space group: P4/mmm, No. 123
- Crystal system: tetragonal

Unit cell a=4.653 b=4.653 c=3.817 alpha=90.00 beta=90.00 gamma=90.00
Fractional positions:
Li  0.000  0.500  0.000
Li  0.500  0.000  0.000
Co  0.000  0.000  0.500
Pd  0.500  0.500  0.000
C  0.500  0.500  0.500



Crystalline SbSeI2O at its relaxed geometry, computed with PBE.

Summary:
- Uncorrected formation energy: 210 meV per atom
- Space group: P4/mmm, No. 123
- Crystal system: tetragonal

Unit cell a=5.974 b=5.974 c=3.812 alpha=90.00 beta=90.00 gamma=90.00
Fractional positions:
Sb  0.000  0.000  0.000
Se  0.500  0.500  0.500
I  0.000  0.500  0.500
I  0.500  0.000  0.500
O  0.500  0.500  0.000